No. 1
Material: BaHg6F12
Method: DFT, PBE-GGA
State: optimized geometry

Calculated values
- theoretical density (g cm⁻³) = 8.5
- total DFT energy (no corrections) (eV per atom) = -2.963
- density of states at the Fermi level (states/eV/cell) = 2.2
- space-group type = R-3m, No. 166

a = 7.4695 Å, b = 7.4695 Å, c = 7.4695 Å
α = 110.56°, β = 110.56°, γ = 110.56°
Last column: nearest neighbours and their distance in Å.
Sites, in units of the cell vectors:
Ba 0.0000 0.0000 0.0000  6 F 2.72
Hg 0.2819 0.2819 0.7105  4 F 2.34-2.61
Hg 0.2819 0.7105 0.2819  4 F 2.34-2.61
Hg 0.2895 0.7181 0.7181  4 F 2.34-2.61
Hg 0.7105 0.2819 0.2819  4 F 2.34-2.61
Hg 0.7181 0.2895 0.7181  4 F 2.34-2.61
Hg 0.7181 0.7181 0.2895  4 F 2.34-2.61
F 0.1125 0.5000 0.8875  2 Hg 2.34, 2 F 2.62
F 0.1125 0.8875 0.5000  2 Hg 2.34, 2 F 2.62
F 0.1129 0.3717 0.3717  2 Hg 2.37-2.61
F 0.3717 0.1129 0.3717  2 Hg 2.37-2.61
F 0.3717 0.3717 0.1129  2 Hg 2.37-2.61
F 0.5000 0.1125 0.8875  2 Hg 2.34, 2 F 2.62
F 0.5000 0.8875 0.1125  2 Hg 2.34, 2 F 2.62
F 0.6283 0.6283 0.8871  2 Hg 2.37-2.61
F 0.6283 0.8871 0.6283  2 Hg 2.37-2.61
F 0.8871 0.6283 0.6283  2 Hg 2.37-2.61
F 0.8875 0.1125 0.5000  2 Hg 2.34, 2 F 2.62
F 0.8875 0.5000 0.1125  2 Hg 2.34, 2 F 2.62

No. 2
Material: Ba2Hg2F7
Method: DFT, PBE-GGA
State: optimized geometry

Calculated values
- theoretical density (g cm⁻³) = 6.1
- density of states at the Fermi level (states/eV/cell) = 1.1
- E above lowest polymorph (kJ/mol of formula units) = 69
- space-group type = Cmmm, No. 65

a = 6.1685 Å, b = 6.1685 Å, c = 5.8119 Å
α = 90.00°, β = 90.00°, γ = 91.78°
Last column: nearest neighbours and their distance in Å.
Sites, in units of the cell vectors:
Ba 0.2475 0.2475 0.0000  6 F 2.59-2.65
Ba 0.7525 0.7525 0.0000  6 F 2.59-2.65
Hg 0.2327 0.7673 0.5000  7 F 2.37-2.60
Hg 0.7673 0.2327 0.5000  7 F 2.37-2.60
F 0.0000 0.0000 0.2536  2 Hg 2.51, 2 Ba 2.59
F 0.0000 0.0000 0.7464  2 Hg 2.51, 2 Ba 2.59
F 0.0000 0.5000 0.2499  2 Hg 2.60, 2 Ba 2.65, 2 F 2.90-2.91
F 0.0000 0.5000 0.7501  2 Hg 2.60, 2 Ba 2.65, 2 F 2.90-2.91
F 0.5000 0.0000 0.2499  2 Hg 2.60, 2 Ba 2.65, 2 F 2.90-2.91
F 0.5000 0.0000 0.7501  2 Hg 2.60, 2 Ba 2.65, 2 F 2.90-2.91
F 0.5000 0.5000 0.5000  2 Hg 2.37

No. 3
Material: Ba2HgF5
Method: DFT, PBE-GGA
State: optimized geometry

Calculated values
- theoretical density (g cm⁻³) = 5.4
- total DFT energy (no corrections) (eV per atom) = -4.583
- density of states at the Fermi level (states/eV/cell) = 2.1
- space-group type = P1, No. 1

a = 4.9928 Å, b = 6.4451 Å, c = 6.5380 Å
α = 95.84°, β = 111.42°, γ = 111.12°
Last column: nearest neighbours and their distance in Å.
Sites, in units of the cell vectors:
Ba 0.0000 0.0000 0.0000  6 F 2.54-2.80
Ba 0.0010 0.4342 0.5664  6 F 2.55-2.79
Hg 0.4480 0.7011 0.2658  6 F 2.46-2.66
F 0.3835 0.3181 0.3984  3 Ba 2.64-2.79, 1 Hg 2.65
F 0.3860 0.8335 0.8846  3 Ba 2.63-2.80, 1 Hg 2.66
F 0.9084 0.0257 0.5967  1 Hg 2.51, 2 Ba 2.54-2.55
F 0.9344 0.6934 0.2602  2 Hg 2.46-2.53, 2 Ba 2.74
F 0.9549 0.3714 0.9329  2 Ba 2.55, 1 Hg 2.59, 1 F 2.85

No. 4
Material: BaHgF4
Method: DFT, PBE-GGA
State: optimized geometry

Calculated values
- theoretical density (g cm⁻³) = 6.0
- density of states at the Fermi level (states/eV/cell) = 0.0
- E above lowest polymorph (kJ/mol of formula units) = 12
- space-group type = C2/m, No. 12

a = 4.3856 Å, b = 4.3856 Å, c = 5.9665 Å
α = 95.17°, β = 95.17°, γ = 89.10°
Last column: nearest neighbours and their distance in Å.
Sites, in units of the cell vectors:
Ba 0.0000 0.0000 0.0000  8 F 2.67-2.71
Hg 0.5000 0.5000 0.5000  4 F 2.28
F 0.0670 0.5364 0.2618  1 Hg 2.28
F 0.4636 0.9330 0.7382  1 Hg 2.28
F 0.5364 0.0670 0.2618  1 Hg 2.28
F 0.9330 0.4636 0.7382  1 Hg 2.28

No. 5
Material: Ba2Hg2F
Method: DFT, PBE-GGA
State: optimized geometry

Calculated values
- theoretical density (g cm⁻³) = 6.6
- total DFT energy (no corrections) (eV per atom) = -2.522
- density of states at the Fermi level (states/eV/cell) = 8.1
- space-group type = P4/mbm, No. 127

a = 7.8494 Å, b = 7.8494 Å, c = 5.6880 Å
α = 90.00°, β = 90.00°, γ = 90.00°
Last column: nearest neighbours and their distance in Å.
Sites, in units of the cell vectors:
Ba 0.1947 0.3053 0.0000  2 F 2.84
Ba 0.3053 0.8053 0.0000  2 F 2.84
Ba 0.6947 0.1947 0.0000  2 F 2.84
Ba 0.8053 0.6947 0.0000  2 F 2.84
Hg 0.1287 0.6287 0.5000  1 Hg 2.86
Hg 0.3713 0.1287 0.5000  1 Hg 2.86
Hg 0.6287 0.8713 0.5000  1 Hg 2.86
Hg 0.8713 0.3713 0.5000  1 Hg 2.86
F 0.0000 0.0000 0.0000  4 Ba 2.84
F 0.5000 0.5000 0.0000  4 Ba 2.84

No. 6
Material: Ba2HgF
Method: DFT, PBE-GGA
State: optimized geometry

Calculated values
- theoretical density (g cm⁻³) = 4.2
- density of states at the Fermi level (states/eV/cell) = 2.5
- E above lowest polymorph (kJ/mol of formula units) = 14
- space-group type = R-3m, No. 166

a = 9.1884 Å, b = 9.1884 Å, c = 9.1884 Å
α = 32.33°, β = 32.33°, γ = 32.33°
Last column: nearest neighbours and their distance in Å.
Sites, in units of the cell vectors:
Ba 0.0941 0.0941 0.0941  1 F 2.46
Ba 0.9059 0.9059 0.9059  1 F 2.46
Hg 0.5000 0.5000 0.5000  6 Ba 3.51
F 0.0000 0.0000 0.0000  2 Ba 2.46

No. 7
Material: BaHg4F12
Method: DFT, PBE-GGA
State: optimized geometry

Calculated values
- theoretical density (g cm⁻³) = 5.5
- total DFT energy (no corrections) (eV per atom) = -3.226
- density of states at the Fermi level (states/eV/cell) = 6.6
- space-group type = Im-3, No. 204

a = 7.7037 Å, b = 7.7037 Å, c = 7.7037 Å
α = 109.47°, β = 109.47°, γ = 109.47°
Last column: nearest neighbours and their distance in Å.
Sites, in units of the cell vectors:
Ba 0.0000 0.0000 0.0000  12 F 2.87
Hg 0.0000 0.0000 0.5000  6 F 2.25
Hg 0.0000 0.5000 0.0000  6 F 2.25
Hg 0.5000 0.0000 0.0000  6 F 2.25
Hg 0.5000 0.5000 0.5000  6 F 2.25
F 0.0246 0.2404 0.7842  2 Hg 2.25
F 0.2158 0.4562 0.2404  2 Hg 2.25
F 0.2158 0.9754 0.7596  2 Hg 2.25
F 0.2404 0.2158 0.4562  2 Hg 2.25
F 0.2404 0.7842 0.0246  2 Hg 2.25
F 0.4562 0.2404 0.2158  2 Hg 2.25
F 0.5438 0.7596 0.7842  2 Hg 2.25
F 0.7596 0.2158 0.9754  2 Hg 2.25
F 0.7596 0.7842 0.5438  2 Hg 2.25
F 0.7842 0.0246 0.2404  2 Hg 2.25
F 0.7842 0.5438 0.7596  2 Hg 2.25
F 0.9754 0.7596 0.2158  2 Hg 2.25

No. 8
Material: Ba2HgF2
Method: DFT, PBE-GGA
State: optimized geometry

Calculated values
- theoretical density (g cm⁻³) = 5.9
- total DFT energy (no corrections) (eV per atom) = -4.016
- density of states at the Fermi level (states/eV/cell) = 2.8
- space-group type = I4/mmm, No. 139

a = 7.9984 Å, b = 7.9984 Å, c = 7.9984 Å
α = 147.91°, β = 147.91°, γ = 46.02°
Last column: nearest neighbours and their distance in Å.
Sites, in units of the cell vectors:
Ba 0.1457 0.1457 0.0000  4 F 2.69
Ba 0.8543 0.8543 0.0000  4 F 2.69
Hg 0.5000 0.5000 0.0000  8 Ba 3.79
F 0.2500 0.7500 0.5000  4 Ba 2.69
F 0.7500 0.2500 0.5000  4 Ba 2.69

No. 9
Material: BaHg2F
Method: DFT, PBE-GGA
State: optimized geometry

Calculated values
- theoretical density (g cm⁻³) = 6.6
- density of states at the Fermi level (states/eV/cell) = 7.8
- E above lowest polymorph (kJ/mol of formula units) = 0
- space-group type = I-42d, No. 122

a = 7.8827 Å, b = 7.8827 Å, c = 7.8827 Å
α = 95.76°, β = 95.76°, γ = 143.07°
Last column: nearest neighbours and their distance in Å.
Sites, in units of the cell vectors:
Ba 0.0000 0.0000 0.0000  2 F 2.50
Ba 0.7500 0.2500 0.5000  2 F 2.50
Hg 0.2018 0.6250 0.0768  2 Hg 2.98, 2 F 3.28
Hg 0.3750 0.4518 0.5768  2 Hg 2.98, 2 F 3.28
Hg 0.5482 0.1250 0.9232  2 Hg 2.98, 2 F 3.28
Hg 0.8750 0.7982 0.4232  2 Hg 2.98, 2 F 3.28
F 0.2500 0.7500 0.5000  2 Ba 2.50
F 0.5000 0.5000 0.0000  2 Ba 2.50

No. 10
Material: Ba5Hg2F12
Method: DFT, PBE-GGA
State: optimized geometry

Calculated values
- theoretical density (g cm⁻³) = 5.6
- total DFT energy (no corrections) (eV per atom) = -4.933
- density of states at the Fermi level (states/eV/cell) = 0.0
- space-group type = C2/m, No. 12

a = 7.6003 Å, b = 7.6003 Å, c = 8.7362 Å
α = 102.23°, β = 102.23°, γ = 53.40°
Last column: nearest neighbours and their distance in Å.
Sites, in units of the cell vectors:
Ba 0.0000 0.0000 0.0000  6 F 2.62-2.71
Ba 0.2950 0.2950 0.6586  8 F 2.58-2.83
Ba 0.3090 0.3090 0.1327  8 F 2.71-2.83
Ba 0.6910 0.6910 0.8673  8 F 2.71-2.83
Ba 0.7050 0.7050 0.3414  8 F 2.58-2.83
Hg 0.1965 0.8035 0.5000  4 F 2.45-2.58, 1 Hg 2.68
Hg 0.8035 0.1965 0.5000  4 F 2.45-2.58, 1 Hg 2.68
F 0.1117 0.5999 0.8977  4 Ba 2.62-2.83, 1 F 2.83
F 0.1234 0.5237 0.4055  1 Hg 2.45, 3 Ba 2.58-2.71, 1 F 2.73
F 0.1548 0.1548 0.8523  3 Ba 2.71-2.83, 2 F 2.83
F 0.4001 0.8883 0.1023  4 Ba 2.62-2.83, 1 F 2.83
F 0.4763 0.8766 0.5945  1 Hg 2.45, 3 Ba 2.58-2.71, 1 F 2.73
F 0.4973 0.4973 0.6743  2 Hg 2.58, 2 Ba 2.72-2.77
F 0.5027 0.5027 0.3257  2 Hg 2.58, 2 Ba 2.72-2.77
F 0.5237 0.1234 0.4055  1 Hg 2.45, 3 Ba 2.58-2.71, 1 F 2.73
F 0.5999 0.1117 0.8977  4 Ba 2.62-2.83, 1 F 2.83
F 0.8452 0.8452 0.1477  3 Ba 2.71-2.83, 2 F 2.83
F 0.8766 0.4763 0.5945  1 Hg 2.45, 3 Ba 2.58-2.71, 1 F 2.73
F 0.8883 0.4001 0.1023  4 Ba 2.62-2.83, 1 F 2.83

No. 11
Material: BaHg2F
Method: DFT, PBE-GGA
State: optimized geometry

Calculated values
- theoretical density (g cm⁻³) = 7.8
- density of states at the Fermi level (states/eV/cell) = 2.9
- E above lowest polymorph (kJ/mol of formula units) = 162
- space-group type = Fm-3m, No. 225

a = 5.5129 Å, b = 5.5129 Å, c = 5.5129 Å
α = 60.00°, β = 60.00°, γ = 60.00°
Last column: nearest neighbours and their distance in Å.
Sites, in units of the cell vectors:
Ba 0.0000 0.0000 0.0000  8 Hg 3.38
Hg 0.2500 0.2500 0.2500  4 Ba 3.38, 4 F 3.38
Hg 0.7500 0.7500 0.7500  4 F 3.38, 4 Ba 3.38
F 0.5000 0.5000 0.5000  8 Hg 3.38

No. 12
Material: BaHgF4
Method: DFT, PBE-GGA
State: optimized geometry

Calculated values
- theoretical density (g cm⁻³) = 6.0
- density of states at the Fermi level (states/eV/cell) = 0.0
- E above lowest polymorph (kJ/mol of formula units) = 0
- space-group type = C2/c, No. 15

a = 7.1654 Å, b = 7.1654 Å, c = 6.2461 Å
α = 111.62°, β = 111.62°, γ = 51.07°
Last column: nearest neighbours and their distance in Å.
Sites, in units of the cell vectors:
Ba 0.2335 0.7665 0.7500  8 F 2.68-2.73
Ba 0.7665 0.2335 0.2500  8 F 2.68-2.73
Hg 0.0000 0.5000 0.0000  2 F 2.15
Hg 0.5000 0.0000 0.5000  2 F 2.15
F 0.1016 0.1747 0.6467  2 Hg 2.47-2.67, 2 Ba 2.68-2.71
F 0.1747 0.1016 0.1467  2 Hg 2.47-2.67, 2 Ba 2.68-2.71
F 0.3209 0.4540 0.9814  1 Hg 2.15
F 0.4540 0.3209 0.4814  1 Hg 2.15
F 0.5460 0.6791 0.5186  1 Hg 2.15
F 0.6791 0.5460 0.0186  1 Hg 2.15
F 0.8253 0.8984 0.8533  2 Hg 2.47-2.67, 2 Ba 2.68-2.71
F 0.8984 0.8253 0.3533  2 Hg 2.47-2.67, 2 Ba 2.68-2.71